# Al4ReHg

Al4ReHg after structural relaxation (PBE, Alexandria via LeMat-Bulk).

Cell and atoms, written as POSCAR:
```
Al4ReHg
1.0
0.000 3.634 3.634
3.634 0.000 3.634
3.634 3.634 0.000
Al Hg Re
4 1 1
direct
0.374 0.374 0.878
0.374 0.374 0.374
0.878 0.374 0.374
0.374 0.878 0.374
0.750 0.750 0.750
0.000 0.000 0.000
```

For the energy of formation, the calculation gives 0.246 eV/atom. As for the volume: 96 Å³ per cell. Its space group is F-43m (216). The electronic total energy is -26.2 eV/f.u.


# BaCoSi3

BaCoSi3 after structural relaxation (PBE, Alexandria via LeMat-Bulk).

Cell and atoms, written as POSCAR:
```
BaCoSi3
1.0
4.646 0.000 0.000
0.000 4.646 0.000
0.000 0.000 4.646
Si Ba Co
3 1 1
direct
0.000 0.500 0.000
0.000 0.000 0.500
0.500 0.000 0.000
0.500 0.500 0.500
0.000 0.000 0.000
```

The calculation puts the raw formation energy at 0.112 eV/atom. As for the volume: 100 Å³ per cell. Its space group is Pm-3m (221). The electronic total energy is -24.7 eV/f.u.


# MgCd2I6

MgCd2I6 after structural relaxation (PBE, Alexandria via LeMat-Bulk).

Cell and atoms, written as POSCAR:
```
MgCd2I6
1.0
4.162 0.000 -0.954
-0.545 8.719 -2.377
0.099 -0.298 9.990
I Cd Mg
6 2 1
direct
0.997 0.771 0.995
0.671 0.573 0.342
0.329 0.427 0.658
0.341 0.908 0.683
0.003 0.229 0.005
0.659 0.092 0.317
0.835 0.666 0.669
0.165 0.334 0.331
0.500 0.000 0.000
```

The calculation puts the raw formation energy at -0.726 eV/atom. As for the volume: 360 Å³ per cell. The energy above the most stable polymorph in this dataset is 0.0 kJ per mole of atoms. Its space group is C2/m (12). The electronic total energy is -19.3 eV/f.u.


# Th3SnHg

Th3SnHg after structural relaxation (PBE, Alexandria via LeMat-Bulk).

Cell and atoms, written as POSCAR:
```
Th3SnHg
1.0
5.507 -1.431 0.000
-2.796 8.757 0.000
0.000 0.000 6.780
Th Sn Hg
6 2 2
direct
0.412 0.218 0.750
0.050 0.725 0.518
0.950 0.275 0.018
0.588 0.782 0.250
0.950 0.275 0.482
0.050 0.725 0.982
0.435 0.585 0.750
0.565 0.415 0.250
0.703 0.944 0.750
0.297 0.056 0.250
```

For the energy of formation, the calculation gives -0.108 eV/atom. As for the volume: 300 Å³ per cell. Its space group is P2_1/m (11). The electronic total energy is -27.1 eV/f.u.


# NdEuSiPd

NdEuSiPd after structural relaxation (PBE, Alexandria via LeMat-Bulk).

Cell and atoms, written as POSCAR:
```
NdEuSiPd
1.0
-4.154 2.876 -1.006
-3.075 1.517 3.845
-0.107 4.953 1.412
Eu Pd Nd Si
1 1 1 1
direct
0.500 0.500 0.500
0.250 0.250 0.250
0.000 0.000 0.000
0.750 0.750 0.750
```

The calculation puts the raw formation energy at -0.563 eV/atom. As for the volume: 97 Å³ per cell. Its space group is F-43m (216). The electronic total energy is -27.9 eV/f.u.


# Cr2AgOs

Cr2AgOs after structural relaxation (PBE, Alexandria via LeMat-Bulk).

Cell and atoms, written as POSCAR:
```
Cr2AgOs
1.0
2.677 0.000 0.000
0.000 2.677 0.000
0.000 0.000 7.864
Os Cr Ag
1 2 1
direct
0.500 0.500 0.250
0.000 0.000 0.477
0.000 0.000 0.023
0.500 0.500 0.750
```

For the energy of formation, the calculation gives 0.416 eV/atom. As for the volume: 56 Å³ per cell. Its space group is P4/mmm (123). The electronic total energy is -31.7 eV/f.u.


> Which value of volume does entry 6 give?

56 Å³ per cell